Entry 1:
RbBaScAs2 | GGA-PBE | optimized geometry

Cell: 5.9282 5.9282 5.1146 Å, 90.00 90.00 90.00°
Closest atoms and distances in Å follow each position.
Sites, in units of the cell vectors:
Rb1 0.0000 0.0000 0.0000  2 Sc 2.56
Ba1 0.5000 0.5000 0.5000  8 As 3.91, 4 Sc 4.19
Sc1 0.0000 0.0000 0.5000  2 Rb 2.56
As1 0.0000 0.5000 0.0000  2 Rb 2.96
As2 0.5000 0.0000 0.0000  2 Rb 2.96

Properties
- mass density (g cm⁻³) = 3.9
- total magnetic moment (μB per atom) = 0.246
- energy relative to the elements (eV/atom) = 0.74


Entry 2:
RbBaAsSe2 | GGA-PBE | optimized geometry

Cell: 6.2249 6.2249 6.3487 Å, 90.00 90.00 90.00°
Closest atoms and distances in Å follow each position.
Sites, in units of the cell vectors:
Rb1 0.0000 0.0000 0.0000  4 As 4.40, 8 Se 4.45
Ba1 0.5000 0.5000 0.5000  4 Se 3.11, 2 As 3.17
As1 0.5000 0.5000 0.0000  2 Ba 3.17
Se1 0.0000 0.5000 0.5000  2 Ba 3.11
Se2 0.5000 0.0000 0.5000  2 Ba 3.11

Properties
- formation energy from raw total energies (eV per atom) = -0.211
- mass density (g cm⁻³) = 3.1
- total magnetic moment (μB per atom) = 0.665
- relative energy among the computed polymorphs (eV per atom) = 0.376